1.
# ScNi2PdC (PBE, optimized geometry)
data_ScNi2PdC
_cell_length_a 4.383
_cell_length_b 4.383
_cell_length_c 4.724
_cell_angle_alpha 90.00
_cell_angle_beta 90.00
_cell_angle_gamma 90.00
_symmetry_space_group_name_H-M 'P 4/m m m'
_symmetry_Int_Tables_number 123
_symmetry_space_group_name_Hall '-P 4 2'
loop_
_atom_site_label
_atom_site_fract_x
_atom_site_fract_y
_atom_site_fract_z
Sc1 0.000 0.000 0.000
Ni1 0.000 0.500 0.000
Pd1 0.000 0.000 0.500
C1 0.500 0.500 0.500
# ΔE_f	2122	meV per atom
# D(E_F)	4.2	states/eV/cell
# E	-21.70	eV per formula unit
# ΔE to the lowest computed polymorph	2.3693	eV per atom

2.
# PbAu2 (PBE, optimized geometry)
data_PbAu2
_cell_length_a 3.920
_cell_length_b 3.920
_cell_length_c 4.905
_cell_angle_alpha 90.00
_cell_angle_beta 90.00
_cell_angle_gamma 90.00
_symmetry_space_group_name_H-M 'P 4/m m m'
_symmetry_Int_Tables_number 123
_symmetry_space_group_name_Hall '-P 4 2'
loop_
_atom_site_label
_atom_site_fract_x
_atom_site_fract_y
_atom_site_fract_z
Pb1 0.000 0.000 0.000
Au1 0.000 0.500 0.500
# ΔE_f	39	meV per atom
# D(E_F)	1.6	states/eV/cell
# E	-10.14	eV per formula unit

Which of these has the lowest E? ScNi2PdC

Please write out number 2 again, unchanged.
# PbAu2 (PBE, optimized geometry)
data_PbAu2
_cell_length_a 3.920
_cell_length_b 3.920
_cell_length_c 4.905
_cell_angle_alpha 90.00
_cell_angle_beta 90.00
_cell_angle_gamma 90.00
_symmetry_space_group_name_H-M 'P 4/m m m'
_symmetry_Int_Tables_number 123
_symmetry_space_group_name_Hall '-P 4 2'
loop_
_atom_site_label
_atom_site_fract_x
_atom_site_fract_y
_atom_site_fract_z
Pb1 0.000 0.000 0.000
Au1 0.000 0.500 0.500
# ΔE_f	39	meV per atom
# D(E_F)	1.6	states/eV/cell
# E	-10.14	eV per formula unit